DFT (PBE) results for crystalline Ac2Ni4AgSn3 at its relaxed geometry.

POSCAR file:
```
Ac2Ni4AgSn3
1.0
4.553 0.000 0.000
0.000 4.553 0.000
0.000 0.000 10.298
Ac Ni Ag Sn
2 4 1 3
direct
0.000 0.500 0.247
0.500 0.000 0.753
0.000 0.000 0.000
0.000 0.500 0.631
0.500 0.000 0.369
0.500 0.500 0.000
0.000 0.000 0.500
0.000 0.500 0.880
0.500 0.000 0.120
0.500 0.500 0.500
```

Output
Electronic total energy in eV per atom: -5.046
Energy relative to the elements in meV per atom: -426.2

DFT (PBE) results for crystalline AcTbNiAg at its relaxed geometry.

POSCAR file:
```
AcTbNiAg
1.0
0.000 3.696 3.696
3.696 0.000 3.696
3.696 3.696 0.000
Ac Tb Ni Ag
1 1 1 1
direct
0.000 0.000 0.000
0.500 0.500 0.500
0.750 0.750 0.750
0.250 0.250 0.250
```

Output
Electronic total energy in eV per atom: -4.516
Energy relative to the elements in meV per atom: -173.0

DFT (PBE) results for crystalline AcZnNiAg2 at its relaxed geometry.

POSCAR file:
```
AcZnNiAg2
1.0
-2.073 2.097 6.128
2.073 -2.097 6.128
2.073 2.097 -6.128
Ac Zn Ni Ag
1 1 1 2
direct
0.000 0.000 0.000
0.278 0.778 0.500
0.407 0.407 0.000
0.624 0.624 0.000
0.776 0.276 0.500
```

Output
Electronic total energy in eV per atom: -3.560
Energy relative to the elements in meV per atom: -187.2

DFT (PBE) results for crystalline Ac2ZnNiAg at its relaxed geometry.

POSCAR file:
```
Ac2ZnNiAg
1.0
7.876 0.000 0.000
0.000 4.587 0.000
-3.046 0.000 7.341
Ac Zn Ni Ag
4 2 2 2
direct
0.151 0.250 0.354
0.277 0.250 0.938
0.723 0.750 0.062
0.849 0.750 0.646
0.423 0.750 0.291
0.577 0.250 0.709
0.092 0.750 0.065
0.908 0.250 0.935
0.369 0.750 0.658
0.631 0.250 0.342
```

Output
Electronic total energy in eV per atom: -3.914
Energy relative to the elements in meV per atom: -289.4

DFT (PBE) results for crystalline Ac2NpAgO8 at its relaxed geometry.

POSCAR file:
```
Ac2NpAgO8
1.0
4.578 0.000 0.000
0.814 5.447 0.000
0.606 1.226 7.790
Ac Np Ag O
2 1 1 8
direct
0.040 0.059 0.237
0.960 0.941 0.763
0.500 0.500 0.500
0.500 0.500 0.000
0.112 0.711 0.507
0.163 0.765 0.038
0.398 0.223 0.662
0.467 0.327 0.254
0.533 0.673 0.746
0.602 0.777 0.338
0.837 0.235 0.962
0.888 0.289 0.493
```

Output
Electronic total energy in eV per atom: -7.707

DFT (PBE) results for crystalline AcNp2AgO8 at its relaxed geometry.

POSCAR file:
```
AcNp2AgO8
1.0
-2.807 2.807 5.324
2.807 -2.807 5.324
2.807 2.807 -5.324
Ac Np Ag O
1 2 1 8
direct
0.000 0.000 0.000
0.500 0.500 0.000
0.750 0.250 0.500
0.250 0.750 0.500
0.084 0.140 0.509
0.159 0.600 0.976
0.400 0.377 0.560
0.426 0.916 0.056
0.623 0.183 0.024
0.630 0.574 0.491
0.817 0.841 0.440
0.860 0.370 0.944
```

Output
Electronic total energy in eV per atom: -8.453

DFT (PBE) results for crystalline Ac2NpAgS5 at its relaxed geometry.

POSCAR file:
```
Ac2NpAgS5
1.0
2.074 -8.583 0.000
2.074 8.583 0.000
0.000 0.000 12.420
Ac Np Ag S
4 2 2 10
direct
0.114 0.886 0.500
0.126 0.874 0.120
0.874 0.126 0.620
0.886 0.114 0.000
0.194 0.806 0.820
0.806 0.194 0.320
0.468 0.532 0.280
0.532 0.468 0.780
0.047 0.953 0.887
0.292 0.708 0.470
0.306 0.694 0.166
0.356 0.644 0.815
0.499 0.501 0.586
0.501 0.499 0.086
0.644 0.356 0.315
0.694 0.306 0.666
0.708 0.292 0.970
0.953 0.047 0.387
```

Output
Electronic total energy in eV per atom: -6.543

DFT (PBE) results for crystalline AcNpAg2Te4 at its relaxed geometry.

POSCAR file:
```
AcNpAg2Te4
1.0
-3.838 3.937 4.239
3.838 -3.937 4.239
3.838 3.937 -4.239
Ac Np Ag Te
1 1 2 4
direct
0.000 0.000 0.000
0.500 0.500 0.000
0.333 0.833 0.500
0.667 0.167 0.500
0.059 0.055 0.529
0.474 0.945 0.004
0.526 0.530 0.471
0.941 0.470 0.996
```

Output
Electronic total energy in eV per atom: -4.990

DFT (PBE) results for crystalline AcAg2O4 at its relaxed geometry.

POSCAR file:
```
AcAg2O4
1.0
0.000 5.203 6.326
3.419 0.000 6.326
3.419 5.203 0.000
Ac Ag O
2 4 8
direct
0.125 0.125 0.125
0.875 0.875 0.875
0.000 0.500 0.500
0.500 0.000 0.500
0.500 0.500 0.000
0.500 0.500 0.500
0.156 0.364 0.741
0.239 0.741 0.364
0.259 0.761 0.844
0.364 0.156 0.239
0.636 0.844 0.761
0.741 0.239 0.156
0.761 0.259 0.636
0.844 0.636 0.259
```

Output
Electronic total energy in eV per atom: -5.421
Excess energy over the best structure of this formula in the dataset in meV per atom: 0

DFT (PBE) results for crystalline Ac2AgO4 at its relaxed geometry.

POSCAR file:
```
Ac2AgO4
1.0
-2.138 2.138 6.492
2.138 -2.138 6.492
2.138 2.138 -6.492
Ac Ag O
2 1 4
direct
0.150 0.150 0.000
0.850 0.850 0.000
0.500 0.500 0.000
0.000 0.500 0.500
0.250 0.750 0.500
0.500 0.000 0.500
0.750 0.250 0.500
```

Output
Electronic total energy in eV per atom: -6.871
Excess energy over the best structure of this formula in the dataset in meV per atom: 0

DFT (PBE) results for crystalline AcAgO at its relaxed geometry.

POSCAR file:
```
AcAgO
1.0
4.191 0.000 0.000
0.000 4.191 0.000
0.000 0.000 8.145
Ac Ag O
2 2 2
direct
0.250 0.250 0.159
0.750 0.750 0.841
0.250 0.250 0.571
0.750 0.750 0.429
0.250 0.750 0.000
0.750 0.250 0.000
```

Output
Electronic total energy in eV per atom: -5.906
Excess energy over the best structure of this formula in the dataset in meV per atom: 0

DFT (PBE) results for crystalline Ac3AgO at its relaxed geometry.

POSCAR file:
```
Ac3AgO
1.0
6.416 -4.885 0.000
6.416 4.885 0.000
-0.068 0.000 5.433
Ac Ag O
6 2 2
direct
0.105 0.105 0.255
0.177 0.583 0.254
0.417 0.823 0.746
0.583 0.177 0.254
0.823 0.417 0.746
0.895 0.895 0.745
0.282 0.282 0.741
0.718 0.718 0.259
0.163 0.837 0.500
0.837 0.163 0.500
```

Output
Electronic total energy in eV per atom: -5.098
Excess energy over the best structure of this formula in the dataset in meV per atom: 0

DFT (PBE) results for crystalline Ac2AgO at its relaxed geometry.

POSCAR file:
```
Ac2AgO
1.0
2.925 -6.837 0.000
2.925 6.837 0.000
0.000 0.000 5.940
Ac Ag O
4 2 2
direct
0.125 0.333 0.000
0.333 0.125 0.500
0.667 0.875 0.500
0.875 0.667 0.000
0.000 0.500 0.500
0.500 0.000 0.000
0.000 0.000 0.250
0.000 0.000 0.750
```

Output
Electronic total energy in eV per atom: -5.491
Excess energy over the best structure of this formula in the dataset in meV per atom: 0

DFT (PBE) results for crystalline AcAgO4 at its relaxed geometry.

POSCAR file:
```
AcAgO4
1.0
5.067 0.000 0.000
0.000 5.067 0.000
0.000 0.000 6.552
Ac Ag O
2 2 8
direct
0.250 0.750 0.250
0.750 0.250 0.750
0.250 0.750 0.750
0.750 0.250 0.250
0.102 0.250 0.043
0.250 0.102 0.543
0.250 0.398 0.543
0.398 0.250 0.043
0.602 0.750 0.957
0.750 0.602 0.457
0.750 0.898 0.457
0.898 0.750 0.957
```

Output
Electronic total energy in eV per atom: -5.498
Excess energy over the best structure of this formula in the dataset in meV per atom: 183

DFT (PBE) results for crystalline Ac3Ag2O8 at its relaxed geometry.

POSCAR file:
```
Ac3Ag2O8
1.0
3.089 1.783 6.547
-3.089 1.783 6.547
0.000 -3.566 6.547
Ac Ag O
3 2 8
direct
0.000 0.000 0.000
0.209 0.209 0.209
0.791 0.791 0.791
0.429 0.429 0.429
0.571 0.571 0.571
0.174 0.754 0.754
0.246 0.246 0.826
0.246 0.826 0.246
0.323 0.323 0.323
0.677 0.677 0.677
0.754 0.174 0.754
0.754 0.754 0.174
0.826 0.246 0.246
```

Output
Electronic total energy in eV per atom: -6.030

DFT (PBE) results for crystalline AcAgO at its relaxed geometry.

POSCAR file:
```
AcAgO
1.0
3.758 0.000 0.000
0.000 3.758 0.000
-0.032 0.000 9.068
Ac Ag O
2 2 2
direct
0.248 0.250 0.332
0.752 0.750 0.668
0.250 0.750 0.000
0.750 0.250 0.000
0.251 0.250 0.602
0.749 0.750 0.398
```

Output
Electronic total energy in eV per atom: -5.722
Excess energy over the best structure of this formula in the dataset in meV per atom: 184

DFT (PBE) results for crystalline Ac6AgO12 at its relaxed geometry.

POSCAR file:
```
Ac6AgO12
1.0
5.372 3.102 3.421
-5.372 3.102 3.421
0.000 -6.203 3.421
Ac Ag O
6 1 12
direct
0.104 0.640 0.792
0.208 0.896 0.360
0.360 0.208 0.896
0.640 0.792 0.104
0.792 0.104 0.640
0.896 0.360 0.208
0.500 0.500 0.500
0.052 0.323 0.904
0.096 0.948 0.677
0.207 0.541 0.441
0.323 0.904 0.052
0.441 0.207 0.541
0.459 0.559 0.793
0.541 0.441 0.207
0.559 0.793 0.459
0.677 0.096 0.948
0.793 0.459 0.559
0.904 0.052 0.323
0.948 0.677 0.096
```

Output
Electronic total energy in eV per atom: -7.149

DFT (PBE) results for crystalline Ac3AgO at its relaxed geometry.

POSCAR file:
```
Ac3AgO
1.0
5.285 0.000 0.000
0.000 5.285 0.000
0.000 0.000 5.285
Ac Ag O
3 1 1
direct
0.000 0.000 0.500
0.000 0.500 0.000
0.500 0.000 0.000
0.500 0.500 0.500
0.000 0.000 0.000
```

Output
Electronic total energy in eV per atom: -5.058
Excess energy over the best structure of this formula in the dataset in meV per atom: 40

DFT (PBE) results for crystalline AcAg7O12 at its relaxed geometry.

POSCAR file:
```
AcAg7O12
1.0
-4.014 4.014 4.014
4.014 -4.014 4.014
4.014 4.014 -4.014
Ac Ag O
1 7 12
direct
0.000 0.000 0.000
0.000 0.000 0.500
0.000 0.500 0.000
0.000 0.500 0.500
0.500 0.000 0.000
0.500 0.000 0.500
0.500 0.500 0.000
0.500 0.500 0.500
0.136 0.304 0.832
0.168 0.472 0.304
0.168 0.864 0.696
0.304 0.168 0.472
0.304 0.832 0.136
0.472 0.304 0.168
0.528 0.696 0.832
0.696 0.168 0.864
0.696 0.832 0.528
0.832 0.136 0.304
0.832 0.528 0.696
0.864 0.696 0.168
```

Output
Electronic total energy in eV per atom: -4.577

DFT (PBE) results for crystalline Ac2AgO at its relaxed geometry.

POSCAR file:
```
Ac2AgO
1.0
3.467 0.000 0.000
0.000 3.467 0.000
0.000 0.000 8.027
Ac Ag O
2 1 1
direct
0.000 0.000 0.212
0.000 0.000 0.788
0.500 0.500 0.500
0.500 0.500 0.000
```

Output
Electronic total energy in eV per atom: -4.855
Excess energy over the best structure of this formula in the dataset in meV per atom: 636

DFT (PBE) results for crystalline Ac2Ag2O5 at its relaxed geometry.

POSCAR file:
```
Ac2Ag2O5
1.0
6.971 -2.192 0.000
6.971 2.192 0.000
-2.034 0.000 4.979
Ac Ag O
2 2 5
direct
0.118 0.118 0.407
0.882 0.882 0.593
0.399 0.399 0.093
0.601 0.601 0.907
0.088 0.088 0.882
0.309 0.309 0.677
0.500 0.500 0.500
0.691 0.691 0.323
0.912 0.912 0.118
```

Output
Electronic total energy in eV per atom: -6.195

DFT (PBE) results for crystalline AcAg2O4 at its relaxed geometry.

POSCAR file:
```
AcAg2O4
1.0
2.949 -2.934 0.000
2.949 2.934 0.000
-2.029 0.000 6.427
Ac Ag O
1 2 4
direct
0.000 0.000 0.000
0.387 0.387 0.684
0.613 0.613 0.316
0.085 0.582 0.240
0.418 0.915 0.760
0.582 0.085 0.240
0.915 0.418 0.760
```

Output
Electronic total energy in eV per atom: -5.385
Excess energy over the best structure of this formula in the dataset in meV per atom: 36